Entry 1:
This record from the Alexandria database describes LaTaTcIr2 after structural relaxation. The functional is GGA-PBEsol.

```
LaTaTcIr2
1.0
-2.746 -2.381 -2.932
2.282 -4.056 1.156
-3.136 -0.753 3.549
Ir La Tc Ta
2 1 1 1
Cartesian
-1.568 -0.377 1.775 Ir
1.141 -2.028 0.578 Ir
-1.800 -3.595 0.887 La
0.000 0.000 0.000 Tc
-1.373 -1.191 -1.466 Ta
```

Output
Magnetization = 0.7 μB/f.u.
Calculated formation energy = 0.717 eV/atom


Entry 2:
This record from the Alexandria database describes La4TcIr after structural relaxation. The functional is GGA-PBEsol.

```
La4TcIr
1.0
5.921 0.000 0.000
2.961 5.128 0.000
2.961 1.709 4.834
Ir La Tc
1 4 1
Cartesian
0.000 0.000 0.000 Ir
4.441 2.564 1.813 La
5.921 3.419 4.230 La
7.401 2.564 1.813 La
5.921 5.127 1.813 La
8.882 5.128 3.626 Tc
```

Output
Magnetization = 0.0 μB/f.u.
Calculated formation energy = 1.004 eV/atom


Entry 3:
This record from the Alexandria database describes La2TcIr after structural relaxation. The functional is GGA-PBEsol.

```
La2TcIr
1.0
3.630 0.000 0.000
0.000 4.879 0.000
0.000 0.000 4.905
Ir La Tc
1 2 1
Cartesian
1.815 0.000 2.452 Ir
0.000 0.000 0.000 La
0.000 2.440 2.452 La
1.815 2.440 0.000 Tc
```

Output
Magnetization = 0.0 μB/f.u.
Calculated formation energy = -0.002 eV/atom
Offset from the most stable computed form = 0 meV/atom


Entry 4:
This record from the Alexandria database describes LaTcIr2 after structural relaxation. The functional is GGA-PBEsol.

```
LaTcIr2
1.0
4.120 0.000 0.000
0.000 4.147 0.000
-2.060 -2.074 4.001
Ir La Tc
2 1 1
Cartesian
2.060 2.074 2.004 Ir
0.000 0.000 1.997 Ir
0.000 2.074 0.000 La
2.060 0.000 0.000 Tc
```

Output
Magnetization = 0.0 μB/f.u.
Calculated formation energy = 0.224 eV/atom
Offset from the most stable computed form = 278 meV/atom


Entry 5:
This record from the Alexandria database describes LaTcIr2 after structural relaxation. The functional is GGA-PBEsol.

```
LaTcIr2
1.0
2.824 0.000 0.031
0.000 3.586 0.000
-0.082 0.000 7.043
Ir La Tc
2 1 1
Cartesian
-0.056 0.000 4.860 Ir
2.798 0.000 2.213 Ir
1.412 1.793 0.015 La
1.371 1.793 3.537 Tc
```

Output
Magnetization = 0.0 μB/f.u.
Calculated formation energy = -0.054 eV/atom
Offset from the most stable computed form = 0 meV/atom


Entry 6:
This record from the Alexandria database describes LaTc2Ir after structural relaxation. The functional is GGA-PBEsol.

```
LaTc2Ir
1.0
4.605 0.000 0.000
2.302 3.988 0.000
2.302 1.329 3.760
Ir La Tc
1 1 2
Cartesian
4.605 2.658 1.880 Ir
2.302 1.329 0.940 La
0.000 0.000 0.000 Tc
6.907 3.988 2.820 Tc
```

Output
Magnetization = 0.8 μB/f.u.
Calculated formation energy = 0.439 eV/atom